VASP calculation (PBE with a Hubbard U) on a relaxed MgV2O4 crystal.

abc: 6.0611 6.0611 14.8303
angles: 90.00 90.00 120.00
Space group P3m1 (No. 156)
Asymmetric unit:
Mg (0.0000, 0.0000, 0.0000) [1 per cell]
Mg (0.0000, 0.0000, 0.2443) [1 per cell]
Mg (0.3333, 0.6667, 0.6618) [1 per cell]
Mg (0.6667, 0.3333, 0.3291) [1 per cell]
Mg (0.6667, 0.3333, 0.5782) [1 per cell]
Mg (0.6667, 0.3333, 0.9561) [1 per cell]
V (0.0000, 0.0000, 0.6193) [1 per cell]
V (0.1668, 0.3335, 0.4533) [3 per cell]
V (0.3314, 0.1657, 0.7871) [3 per cell]
V (0.3333, 0.6667, 0.2866) [1 per cell]
V (0.3333, 0.6667, 0.9116) [1 per cell]
V (0.5017, 0.0033, 0.1206) [3 per cell]
O (0.0000, 0.0000, 0.3793) [1 per cell]
O (0.0000, 0.0000, 0.8608) [1 per cell]
O (0.0270, 0.5135, 0.3736) [3 per cell]
O (0.1535, 0.3069, 0.7066) [3 per cell]
O (0.1806, 0.3611, 0.2005) [3 per cell]
O (0.3082, 0.1541, 0.5331) [3 per cell]
O (0.3333, 0.6667, 0.0423) [1 per cell]
O (0.3333, 0.6667, 0.5277) [1 per cell]
O (0.3575, 0.1787, 0.0439) [3 per cell]
O (0.5091, 0.0182, 0.8665) [3 per cell]
O (0.6667, 0.3333, 0.1961) [1 per cell]
O (0.6667, 0.3333, 0.7151) [1 per cell]

Results
Total magnetic moment in μB/f.u.: 4.00
Energy relative to the lowest polymorph listed for this composition in meV/atom: 0
VASP energy in eV/atom: -7.4439